# 1
# AcIrO6 (PBE, optimized geometry)
# formation energy without anion corrections	-1274.0	meV/atom
# energy above the most stable polymorph in this dataset	0	meV/atom
# DOS at the Fermi energy	1.09	states/eV per cell
# total moment	0.25	μB/atom
data_AcIrO6
_chemical_formula_sum 'Ac1 Ir1 O6'
_space_group_name_H-M_alt 'P -1'
_space_group_IT_number 2
_cell_length_a 3.949
_cell_length_b 5.466
_cell_length_c 5.494
_cell_angle_alpha 93.69
_cell_angle_beta 107.47
_cell_angle_gamma 106.43
loop_
_space_group_symop_operation_xyz
'x,y,z'
'-x,-y,-z'
loop_
_atom_site_label
_atom_site_fract_x
_atom_site_fract_y
_atom_site_fract_z
Ac1 0.000 0.000 0.000
Ir1 0.000 0.500 0.500
O1 0.295 0.634 0.266
O2 0.297 0.258 0.624
O3 0.330 0.772 0.780



# 2
# Ac3IrO6 (PBE, optimized geometry)
# formation energy without anion corrections	-2488.4	meV/atom
# total moment	0.00	μB/atom
data_Ac3IrO6
_chemical_formula_sum 'Ac12 Ir4 O24'
_space_group_name_H-M_alt 'C m c 21'
_space_group_IT_number 36
_cell_length_a 9.704
_cell_length_b 12.415
_cell_length_c 6.126
_cell_angle_alpha 90.00
_cell_angle_beta 90.00
_cell_angle_gamma 90.00
loop_
_space_group_symop_operation_xyz
'x,y,z'
'-x,-y,z+1/2'
'-x,y,z'
'x,-y,z+1/2'
'x+1/2,y+1/2,z'
'-x+1/2,-y+1/2,z+1/2'
'-x+1/2,y+1/2,z'
'x+1/2,-y+1/2,z+1/2'
loop_
_atom_site_label
_atom_site_fract_x
_atom_site_fract_y
_atom_site_fract_z
Ac1 0.000 0.101 0.000
Ac2 0.204 0.388 0.032
Ir1 0.000 0.296 0.554
O1 0.000 0.293 0.251
O2 0.000 0.424 0.773
O3 0.142 0.238 0.777
O4 0.158 0.012 0.273